## CeHoMnIn (PBE-GGA)

Data for a relaxed CeHoMnIn crystal.

Lattice parameters (Å, degrees): 5.2228 5.2228 5.2228 60.00 60.00 60.00
Sites, in units of the cell vectors:
1 Ce 0.0000 0.0000 0.0000
2 Ho 0.5000 0.5000 0.5000
3 Mn 0.2500 0.2500 0.2500
4 In 0.7500 0.7500 0.7500

Calculated values
Space-group type   No. 216
Calculated total energy   -5.64 eV per atom
ΔE_f   -0.1 eV per formula unit

=====

## CeHo2InN (PBE-GGA)

Data for a relaxed CeHo2InN crystal.

Lattice parameters (Å, degrees): 4.8402 4.8402 4.8562 90.00 90.00 90.00
Sites, in units of the cell vectors:
1 Ce 0.0000 0.0000 0.0000
2 Ho 0.0000 0.5000 0.5000
3 Ho 0.5000 0.0000 0.5000
4 In 0.5000 0.5000 0.0000
5 N 0.0000 0.0000 0.5000

Calculated values
Space-group type   No. 123
Formation energy (no corrections)   -0.900 eV/atom
Calculated total energy   -6.13 eV per atom

=====

## Ce2HoInN (PBE-GGA)

Data for a relaxed Ce2HoInN crystal.

Lattice parameters (Å, degrees): 4.8999 4.8999 4.8684 90.00 90.00 90.00
Sites, in units of the cell vectors:
1 Ce 0.0000 0.5000 0.0000
2 Ce 0.5000 0.0000 0.0000
3 Ho 0.0000 0.0000 0.5000
4 In 0.5000 0.5000 0.5000
5 N 0.0000 0.0000 0.0000

Calculated values
Space-group type   No. 123
Formation energy (no corrections)   -0.846 eV/atom
Calculated total energy   -6.35 eV per atom

=====

## CeHoInOs (PBE-GGA)

Data for a relaxed CeHoInOs crystal.

Lattice parameters (Å, degrees): 3.3494 3.3494 8.4683 90.00 90.00 90.00
Sites, in units of the cell vectors:
1 Ce 0.0000 0.0000 0.0000
2 Ho 0.0000 0.0000 0.4109
3 In 0.5000 0.5000 0.6985
4 Os 0.5000 0.5000 0.2078

Calculated values
Space-group type   No. 99
Calculated total energy   -6.48 eV per atom
ΔE_f   -1.4 eV per formula unit
Energy above the most stable polymorph in this dataset   0.00 kJ per mole of atoms

=====

## CeHoInOs (PBE-GGA)

Data for a relaxed CeHoInOs crystal.

Lattice parameters (Å, degrees): 5.0902 5.0902 5.0902 60.00 60.00 60.00
Sites, in units of the cell vectors:
1 Ce 0.0000 0.0000 0.0000
2 Ho 0.5000 0.5000 0.5000
3 In 0.7500 0.7500 0.7500
4 Os 0.2500 0.2500 0.2500

Calculated values
Space-group type   No. 216
Calculated total energy   -6.27 eV per atom
ΔE_f   -0.6 eV per formula unit
Energy above the most stable polymorph in this dataset   19.57 kJ per mole of atoms

=====

## CeHoPaIn (PBE-GGA)

Data for a relaxed CeHoPaIn crystal.

Lattice parameters (Å, degrees): 5.3051 5.3051 5.3051 60.00 60.00 60.00
Sites, in units of the cell vectors:
1 Ce 0.0000 0.0000 0.0000
2 Ho 0.2500 0.2500 0.2500
3 Pa 0.7500 0.7500 0.7500
4 In 0.5000 0.5000 0.5000

Calculated values
Space-group type   No. 216
Calculated total energy   -5.57 eV per atom
ΔE_f   0.4 eV per formula unit

=====

## CeHoInPb (PBE-GGA)

Data for a relaxed CeHoInPb crystal.

Lattice parameters (Å, degrees): 5.4399 5.4399 5.4399 60.00 60.00 60.00
Sites, in units of the cell vectors:
1 Ce 0.0000 0.0000 0.0000
2 Ho 0.5000 0.5000 0.5000
3 In 0.7500 0.7500 0.7500
4 Pb 0.2500 0.2500 0.2500

Calculated values
Space-group type   No. 216
Calculated total energy   -4.61 eV per atom
ΔE_f   -1.5 eV per formula unit
Energy above the most stable polymorph in this dataset   3.14 kJ per mole of atoms

=====

## CeHoInPb (PBE-GGA)

Data for a relaxed CeHoInPb crystal.

Lattice parameters (Å, degrees): 5.6901 5.6901 5.6901 127.71 127.71 77.09
Sites, in units of the cell vectors:
1 Ce 0.0000 0.0000 0.0000
2 Ho 0.5000 0.5000 0.0000
3 In 0.2500 0.7500 0.5000
4 Pb 0.7500 0.2500 0.5000

Calculated values
Space-group type   No. 119
Calculated total energy   -4.64 eV per atom
ΔE_f   -1.6 eV per formula unit
Energy above the most stable polymorph in this dataset   0.00 kJ per mole of atoms

=====

Question: Among the records above, which one has the lowest calculated total energy?
Answer: number 4

=====

What did the eighth record say?
## CeHoInPb (PBE-GGA)

Data for a relaxed CeHoInPb crystal.

Lattice parameters (Å, degrees): 5.6901 5.6901 5.6901 127.71 127.71 77.09
Sites, in units of the cell vectors:
1 Ce 0.0000 0.0000 0.0000
2 Ho 0.5000 0.5000 0.0000
3 In 0.2500 0.7500 0.5000
4 Pb 0.7500 0.2500 0.5000

Calculated values
Space-group type   No. 119
Calculated total energy   -4.64 eV per atom
ΔE_f   -1.6 eV per formula unit
Energy above the most stable polymorph in this dataset   0.00 kJ per mole of atoms